# 1
PBE-GGA Zr6Zn3Pd, relaxed; magnetic moment = 0.0 μB per cell; mass density = 6.85 g cm⁻³; formation energy from the elements = -114 meV per atom
1.0
4.7318 0.0000 -0.0183
0.0000 8.2826 0.0000
0.0407 0.0000 10.5140
Zr Zn Pd
12 6 2
direct
0.5000 0.8431 0.4051
0.0000 0.3235 0.4133
0.5000 0.5006 0.2553
0.0000 0.6569 0.9051
0.0000 0.6765 0.5867
0.5000 0.8235 0.0867
0.5000 0.4994 0.7447
0.0000 0.3431 0.0949
0.5000 0.1765 0.9133
0.0000 0.9994 0.7553
0.0000 0.0006 0.2447
0.5000 0.1569 0.5949
0.0000 0.3314 0.7585
0.5000 0.8314 0.7415
0.5000 0.5000 0.0000
0.5000 0.1686 0.2585
0.0000 0.0000 0.5000
0.0000 0.6686 0.2415
0.5000 0.5000 0.5000
0.0000 0.0000 0.0000

# 2
PBE-GGA La4DyHo2Sc, relaxed; magnetic moment = 0.0 μB per cell; mass density = 6.87 g cm⁻³; formation energy from the elements = 35 meV per atom
1.0
-3.5816 3.5159 1.4327
-2.0577 -3.4463 3.3133
3.8823 -0.2521 10.3240
La Ho Dy Sc
4 2 1 1
direct
0.5000 0.7452 0.2551
0.0000 0.7549 0.7449
0.0000 0.2451 0.2551
0.5000 0.2548 0.7449
0.0000 0.0000 0.0000
0.5000 0.0000 0.5000
0.5000 0.5000 0.0000
0.0000 0.5000 0.5000

# 3
PBE-GGA Li7Zn2Ag2, relaxed; magnetic moment = 0.0 μB per cell; mass density = 3.56 g cm⁻³; formation energy from the elements = -92 meV per atom
1.0
4.9069 -0.3164 -0.4126
-1.2452 6.2273 0.4874
-1.2452 -1.1441 6.1407
Li Ag Zn
7 2 2
direct
0.1786 0.9307 0.4167
0.8214 0.0693 0.5833
0.8214 0.5833 0.0693
0.7890 0.5876 0.5876
0.0000 0.0000 0.0000
0.2110 0.4124 0.4124
0.1786 0.4167 0.9307
0.5872 0.2183 0.2183
0.4128 0.7817 0.7817
0.5000 0.2209 0.7791
0.5000 0.7791 0.2209

Which value of formation energy from the elements does entry 2 give? 35 meV per atom

Among the records above, which one has the lowest mass density? Li7Zn2Ag2